Entry P
## Pm2NdTm2 (GGA-PBE)

Data for crystalline Pm2NdTm2 at its relaxed geometry.

abc: 3.597 3.597 15.053
angles: 96.83 83.14 60.00
Fractional coordinates of all 5 atoms:
Pm1 0.773 0.559 0.896
Pm2 0.227 0.441 0.104
Tm1 0.365 0.969 0.301
Tm2 0.635 0.031 0.699
Nd1 0.500 0.500 0.500

Calculated volume (Å³/atom): 32.8
Mass density (g/cm³): 7.8

***

Entry Q
## Pm2NdTm2 (GGA-PBE)

Data for crystalline Pm2NdTm2 at its relaxed geometry.

abc: 5.784 6.846 10.110
angles: 98.49 73.38 65.01
Fractional coordinates of all 10 atoms:
Tm1 0.936 0.205 0.923
Tm2 0.315 0.737 0.633
Tm3 0.685 0.263 0.367
Tm4 0.064 0.795 0.077
Pm1 0.462 0.304 0.772
Pm2 0.115 0.227 0.543
Pm3 0.538 0.696 0.228
Pm4 0.885 0.773 0.457
Nd1 0.699 0.751 0.851
Nd2 0.301 0.249 0.149

Calculated volume (Å³/atom): 33.1
Mass density (g/cm³): 7.8

***

Q: Which of them is the most stable? A: entry P.

***

Entry P
## Pm8Nd2Tm (GGA-PBE)

Data for crystalline Pm8Nd2Tm at its relaxed geometry.

abc: 5.758 10.226 10.226
angles: 40.63 93.63 93.63
Fractional coordinates of all 11 atoms:
Pm1 0.766 0.455 0.455
Pm2 0.772 0.815 0.815
Pm3 0.731 0.390 0.864
Pm4 0.269 0.136 0.610
Pm5 0.731 0.864 0.390
Pm6 0.234 0.545 0.545
Pm7 0.228 0.185 0.185
Pm8 0.269 0.610 0.136
Nd1 0.741 0.284 0.284
Nd2 0.259 0.716 0.716
Tm1 0.000 0.000 0.000

Calculated volume (Å³/atom): 35.6
Mass density (g/cm³): 6.9

***

Entry Q
## Pm8Nd2Tm (GGA-PBE)

Data for crystalline Pm8Nd2Tm at its relaxed geometry.

abc: 5.150 8.147 9.626
angles: 104.74 105.52 90.00
Fractional coordinates of all 11 atoms:
Nd1 0.773 0.363 0.547
Nd2 0.227 0.637 0.453
Tm1 0.500 0.000 0.000
Pm1 0.681 0.909 0.362
Pm2 0.865 0.821 0.729
Pm3 0.135 0.179 0.271
Pm4 0.410 0.549 0.820
Pm5 0.045 0.729 0.090
Pm6 0.590 0.451 0.180
Pm7 0.319 0.091 0.638
Pm8 0.955 0.271 0.910

Calculated volume (Å³/atom): 34.1
Mass density (g/cm³): 7.2

***

Q: Which of them is the most stable? A: entry Q.

***

Entry P
## PmNd6Tm3 (GGA-PBE)

Data for crystalline PmNd6Tm3 at its relaxed geometry.

abc: 6.357 11.111 11.111
angles: 120.68 90.00 90.00
Fractional coordinates of all 20 atoms:
Nd1 0.548 0.628 0.709
Nd2 0.548 0.291 0.372
Nd3 0.650 0.282 0.718
Nd4 0.378 0.964 0.036
Nd5 0.048 0.372 0.291
Nd6 0.367 0.058 0.476
Nd7 0.867 0.942 0.524
Nd8 0.867 0.476 0.058
Nd9 0.150 0.718 0.282
Nd10 0.367 0.524 0.942
Nd11 0.048 0.709 0.628
Nd12 0.878 0.036 0.964
Tm1 0.964 0.713 0.943
Tm2 0.588 0.616 0.384
Tm3 0.964 0.057 0.287
Tm4 0.088 0.384 0.616
Tm5 0.464 0.943 0.713
Tm6 0.464 0.287 0.057
Pm1 0.611 0.805 0.195
Pm2 0.111 0.195 0.805

Calculated volume (Å³/atom): 33.7
Mass density (g/cm³): 7.5

***

Entry Q
## PmNd6Tm3 (GGA-PBE)

Data for crystalline PmNd6Tm3 at its relaxed geometry.

abc: 9.928 9.928 7.008
angles: 44.90 44.90 60.00
Fractional coordinates of all 10 atoms:
Nd1 0.070 0.400 0.800
Nd2 0.569 0.231 0.300
Nd3 0.400 0.730 0.800
Nd4 0.730 0.070 0.800
Nd5 0.231 0.900 0.300
Nd6 0.900 0.569 0.300
Tm1 0.647 0.647 0.059
Tm2 0.154 0.154 0.539
Tm3 0.400 0.400 0.799
Pm1 0.900 0.900 0.300

Calculated volume (Å³/atom): 34.4
Mass density (g/cm³): 7.3

***

Q: Which of them is the most stable? A: entry P.

***

Entry P
## Pm4Nd3Tm (GGA-PBE)

Data for crystalline Pm4Nd3Tm at its relaxed geometry.

abc: 7.313 6.329 11.786
angles: 90.00 90.00 90.00
Fractional coordinates of all 16 atoms:
Tm1 0.440 0.666 0.500
Tm2 0.940 0.334 0.000
Nd1 0.190 0.500 0.750
Nd2 0.190 0.500 0.250
Nd3 0.690 0.833 0.000
Nd4 0.690 0.500 0.750
Nd5 0.690 0.500 0.250
Nd6 0.190 0.167 0.500
Pm1 0.939 0.001 0.751
Pm2 0.688 0.167 0.500
Pm3 0.939 0.667 0.500
Pm4 0.188 0.833 0.000
Pm5 0.439 0.999 0.251
Pm6 0.939 0.001 0.249
Pm7 0.439 0.999 0.749
Pm8 0.439 0.333 0.000

Calculated volume (Å³/atom): 34.1
Mass density (g/cm³): 7.2

***

Entry Q
## Pm4Nd3Tm (GGA-PBE)

Data for crystalline Pm4Nd3Tm at its relaxed geometry.

abc: 3.517 6.922 11.990
angles: 106.74 98.43 90.00
Fractional coordinates of all 8 atoms:
Nd1 0.000 0.500 0.000
Nd2 0.876 0.115 0.752
Nd3 0.124 0.885 0.248
Pm1 0.742 0.244 0.483
Pm2 0.258 0.756 0.517
Pm3 0.876 0.637 0.753
Pm4 0.124 0.363 0.247
Tm1 0.500 0.000 0.000

Calculated volume (Å³/atom): 34.5
Mass density (g/cm³): 7.1

***

Q: Which of them is the most stable? A: entry P.